1.
This record from the Alexandria database describes a relaxed structure of Er2S3. The functional is PBE.

Cell: 3.8342 10.4218 10.5569 Å, 90.00 90.00 90.00°
Last column: nearest neighbours and their distance in Å.
Fractional positions:
Er  0.2500  0.1869  0.4897  7 S 2.72-2.79
Er  0.2500  0.3131  0.9897  7 S 2.72-2.79
Er  0.2500  0.9963  0.8080  7 S 2.79-2.83
Er  0.2500  0.5037  0.3080  7 S 2.79-2.83
Er  0.7500  0.0037  0.1920  7 S 2.79-2.83
Er  0.7500  0.4963  0.6920  7 S 2.79-2.83
Er  0.7500  0.8131  0.5103  7 S 2.72-2.79
Er  0.7500  0.6869  0.0103  7 S 2.72-2.79
S  0.2500  0.3052  0.7272  4 Er 2.77-2.79, 1 S 3.07
S  0.7500  0.6948  0.2728  4 Er 2.77-2.79, 1 S 3.07
S  0.2500  0.8733  0.0458  5 Er 2.75-2.82
S  0.7500  0.8052  0.7728  4 Er 2.77-2.79, 1 S 3.07
S  0.2500  0.6267  0.5458  5 Er 2.75-2.82
S  0.2500  0.9445  0.3810  5 Er 2.72-2.83
S  0.7500  0.0555  0.6190  5 Er 2.72-2.83
S  0.2500  0.5555  0.8810  5 Er 2.72-2.83
S  0.7500  0.1267  0.9542  5 Er 2.75-2.82
S  0.7500  0.4445  0.1190  5 Er 2.72-2.83
S  0.7500  0.3733  0.4542  5 Er 2.75-2.82
S  0.2500  0.1948  0.2272  4 Er 2.77-2.79, 1 S 3.07

## Properties
- space group = Pnma (62)
- crystal system = orthorhombic
- volume (Å³/cell) = 421.84
- uncorrected formation energy (eV per atom) = -2.060

2.
This record from the Alexandria database describes a relaxed structure of Er5S7. The functional is PBE.

Cell: 3.7718 6.6356 11.5270 Å, 103.93 89.99 106.50°
Last column: nearest neighbours and their distance in Å.
Fractional positions:
Er  0.7001  0.4001  0.8125  7 S 2.72-2.93
Er  0.2999  0.5999  0.1875  7 S 2.72-2.93
Er  0.1119  0.2237  0.4214  6 S 2.66-2.80
Er  0.8881  0.7763  0.5786  6 S 2.66-2.80
Er  0.0000  0.0000  0.0000  6 S 2.66-2.72
S  0.9585  0.9173  0.2150  4 Er 2.66-2.72
S  0.3409  0.6818  0.9489  5 Er 2.72-2.93
S  0.0415  0.0827  0.7850  4 Er 2.66-2.72
S  0.2592  0.5181  0.6473  5 Er 2.74-2.91
S  0.7408  0.4819  0.3527  5 Er 2.74-2.91
S  0.6591  0.3182  0.0511  5 Er 2.72-2.93
S  0.5000  0.0000  0.5000  4 Er 2.66

## Properties
- space group = C2/m (12)
- crystal system = monoclinic
- volume (Å³/cell) = 267.76
- uncorrected formation energy (eV per atom) = -2.065

3.
This record from the Alexandria database describes a relaxed structure of Er2SbS. The functional is PBE.

Cell: 4.0413 4.0413 7.3980 Å, 74.15 74.15 60.00°
Last column: nearest neighbours and their distance in Å.
Fractional positions:
Sb  0.4991  0.4991  0.5028  6 Er 3.05
Er  0.2589  0.2589  0.2232  3 S 2.84, 3 Sb 3.05
Er  0.0727  0.0727  0.7820  3 S 2.76, 3 Sb 3.05
S  0.6694  0.6694  0.9919  6 Er 2.76-2.84

## Properties
- space group = R3m (160)
- crystal system = trigonal
- volume (Å³/cell) = 99.30
- uncorrected formation energy (eV per atom) = -1.421

4.
This record from the Alexandria database describes a relaxed structure of Er2SbS4. The functional is PBE.

Cell: 3.8303 6.8929 7.7994 Å, 111.89 104.21 90.00°
Last column: nearest neighbours and their distance in Å.
Fractional positions:
S  0.3525  0.6825  0.7049  3 Er 2.70-2.73
S  0.8626  0.1588  0.7251  3 Er 2.68-2.78, 1 Sb 2.70
S  0.1374  0.8412  0.2749  3 Er 2.68-2.78, 1 Sb 2.70
S  0.6475  0.3175  0.2951  3 Er 2.70-2.73
Er  0.2634  0.2596  0.5268  6 S 2.68-2.78
Er  0.7366  0.7404  0.4732  6 S 2.68-2.78
Sb  0.0000  0.0000  0.0000  2 S 2.70

## Properties
- space group = C2/m (12)
- crystal system = monoclinic
- volume (Å³/cell) = 184.26
- uncorrected formation energy (eV per atom) = -1.382

5.
This record from the Alexandria database describes a relaxed structure of Er2SbS. The functional is PBE.

Cell: 4.3465 5.8571 17.1905 Å, 90.00 90.00 90.00°
Last column: nearest neighbours and their distance in Å.
Fractional positions:
Er  0.2500  0.2506  0.6737  3 S 2.64-2.93, 2 Sb 2.95
Er  0.7500  0.2494  0.1737  3 S 2.64-2.93, 2 Sb 2.95
Er  0.7500  0.2505  0.9294  2 S 2.80, 4 Sb 2.94-3.09
Er  0.7500  0.7494  0.3263  3 S 2.64-2.93, 2 Sb 2.95
Er  0.7500  0.7505  0.5706  2 S 2.80, 4 Sb 2.94-3.09
Er  0.2500  0.7506  0.8263  3 S 2.64-2.93, 2 Sb 2.95
Er  0.2500  0.2495  0.4294  2 S 2.80, 4 Sb 2.94-3.09
Er  0.2500  0.7495  0.0706  2 S 2.80, 4 Sb 2.94-3.09
Sb  0.7500  0.2504  0.5575  6 Er 2.94-3.09
Sb  0.2500  0.7496  0.4425  6 Er 2.94-3.09
Sb  0.2500  0.2496  0.0575  6 Er 2.94-3.09
Sb  0.7500  0.7504  0.9425  6 Er 2.94-3.09
S  0.2500  0.2504  0.8271  5 Er 2.64-2.93
S  0.7500  0.2496  0.3271  5 Er 2.64-2.93
S  0.7500  0.7496  0.1729  5 Er 2.64-2.93
S  0.2500  0.7504  0.6729  5 Er 2.64-2.93

## Properties
- space group = Pnma (62)
- crystal system = orthorhombic
- volume (Å³/cell) = 437.63
- uncorrected formation energy (eV per atom) = -1.353

6.
This record from the Alexandria database describes a relaxed structure of Er2SbS. The functional is PBE.

Cell: 4.1037 4.1037 7.1539 Å, 73.33 73.33 60.00°
Last column: nearest neighbours and their distance in Å.
Fractional positions:
Sb  0.5000  0.5000  0.5000  6 Er 3.02
S  0.0000  0.0000  0.0000  6 Er 2.81
Er  0.2588  0.2588  0.2237  3 S 2.81, 3 Sb 3.02
Er  0.7412  0.7412  0.7763  3 S 2.81, 3 Sb 3.02

## Properties
- space group = R-3m (166)
- crystal system = trigonal
- volume (Å³/cell) = 98.45
- uncorrected formation energy (eV per atom) = -1.475

7.
This record from the Alexandria database describes a relaxed structure of Er2SbS. The functional is PBE.

Cell: 4.1155 4.1155 20.0832 Å, 90.00 90.00 120.00°
Last column: nearest neighbours and their distance in Å.
Fractional positions:
Sb  0.0000  0.0000  0.5000  6 Er 3.02
Sb  0.6667  0.3333  0.3137  6 Er 3.01-3.03
Sb  0.3333  0.6667  0.6863  6 Er 3.01-3.03
Er  0.3333  0.6667  0.9279  6 S 2.78-2.81
Er  0.6667  0.3333  0.5930  6 Sb 3.02-3.03
Er  0.0000  0.0000  0.2214  3 S 2.81, 3 Sb 3.01
Er  0.6667  0.3333  0.0721  6 S 2.78-2.81
Er  0.3333  0.6667  0.4070  6 Sb 3.02-3.03
Er  0.0000  0.0000  0.7786  3 S 2.81, 3 Sb 3.01
S  0.6667  0.3333  0.8530  6 Er 2.81
S  0.3333  0.6667  0.1470  6 Er 2.81
S  0.0000  0.0000  0.0000  6 Er 2.78

## Properties
- space group = P-3m1 (164)
- crystal system = trigonal
- volume (Å³/cell) = 294.59
- uncorrected formation energy (eV per atom) = -1.472

8.
This record from the Alexandria database describes a relaxed structure of Er3SbS. The functional is PBE.

Cell: 6.4677 8.8355 10.4085 Å, 118.07 90.00 90.00°
Last column: nearest neighbours and their distance in Å.
Fractional positions:
Er  0.8200  0.4240  0.8199  1 S 2.74
Er  0.1800  0.5760  0.1801  1 S 2.74
Er  0.4014  0.2084  0.1647  3 S 2.62-2.73
Er  0.5715  0.6631  0.4658  2 S 2.60-2.68
Er  0.0715  0.8369  0.0342  2 S 2.60-2.68
Er  0.4285  0.3369  0.5342  2 S 2.60-2.68
Er  0.3200  0.0760  0.6801  1 S 2.74
Er  0.9014  0.2916  0.3353  3 S 2.62-2.73
Er  0.9285  0.1631  0.9658  2 S 2.60-2.68
Er  0.6800  0.9240  0.3199  1 S 2.74
Er  0.5986  0.7916  0.8353  3 S 2.62-2.73
Er  0.0986  0.7084  0.6647  3 S 2.62-2.73
Sb  0.3060  0.4978  0.8496  6 Er 3.01-3.29
Sb  0.6940  0.5022  0.1504  6 Er 3.01-3.29
Sb  0.1940  0.9978  0.3496  6 Er 3.01-3.29
Sb  0.8060  0.0022  0.6504  6 Er 3.01-3.29
S  0.2688  0.9853  0.8966  6 Er 2.60-2.74
S  0.2312  0.4853  0.3966  6 Er 2.60-2.74
S  0.7688  0.5147  0.6034  6 Er 2.60-2.74
S  0.7312  0.0147  0.1034  6 Er 2.60-2.74

## Properties
- space group = P2_1/c (14)
- crystal system = monoclinic
- volume (Å³/cell) = 524.85
- uncorrected formation energy (eV per atom) = -1.078

9.
This record from the Alexandria database describes a relaxed structure of Er2SbS5. The functional is PBE.

Cell: 5.2544 7.0940 12.9050 Å, 90.00 90.00 111.74°
Last column: nearest neighbours and their distance in Å.
Fractional positions:
Er  0.1555  0.3110  0.9344  6 S 2.67-2.81
Er  0.8445  0.6890  0.4344  6 S 2.67-2.81
Er  0.8445  0.6890  0.0656  6 S 2.67-2.81
Er  0.1555  0.3110  0.5656  6 S 2.67-2.81
S  0.9561  0.9121  0.6072  1 Sb 2.50, 2 Er 2.67-2.68
S  0.3049  0.6097  0.4175  3 Er 2.69-2.74, 1 Sb 2.78
S  0.9561  0.9121  0.8928  1 Sb 2.50, 2 Er 2.67-2.68
S  0.6951  0.3903  0.5825  3 Er 2.69-2.74, 1 Sb 2.78
S  0.6951  0.3903  0.9175  3 Er 2.69-2.74, 1 Sb 2.78
S  0.0439  0.0879  0.3928  1 Sb 2.50, 2 Er 2.67-2.68
S  0.3049  0.6097  0.0825  3 Er 2.69-2.74, 1 Sb 2.78
S  0.2685  0.5370  0.7500  2 Sb 2.74, 2 Er 2.81
S  0.7315  0.4630  0.2500  2 Sb 2.74, 2 Er 2.81
S  0.0439  0.0879  0.1072  1 Sb 2.50, 2 Er 2.67-2.68
Sb  0.8274  0.6548  0.7500  6 S 2.50-2.78
Sb  0.1726  0.3452  0.2500  6 S 2.50-2.78

## Properties
- space group = Cmcm (63)
- crystal system = orthorhombic
- volume (Å³/cell) = 446.83
- uncorrected formation energy (eV per atom) = -1.271

10.
This record from the Alexandria database describes a relaxed structure of Er3SbS2. The functional is PBE.

Cell: 6.6497 6.7155 6.7155 Å, 74.34 90.00 90.00°
Last column: nearest neighbours and their distance in Å.
Fractional positions:
Er  0.2500  0.0764  0.9236  4 S 2.70, 1 Sb 2.78
Er  0.7500  0.1057  0.5449  4 S 2.82-2.83, 1 Sb 3.07
Er  0.2500  0.8943  0.4551  4 S 2.82-2.83, 1 Sb 3.07
Er  0.7500  0.9236  0.0764  4 S 2.70, 1 Sb 2.78
Er  0.7500  0.4551  0.8943  4 S 2.82-2.83, 1 Sb 3.07
Er  0.2500  0.5449  0.1057  4 S 2.82-2.83, 1 Sb 3.07
Sb  0.7500  0.5810  0.4190  3 Er 2.78-3.07
Sb  0.2500  0.4190  0.5810  3 Er 2.78-3.07
S  0.5000  0.1901  0.1901  6 Er 2.70-2.83
S  0.0000  0.8099  0.8099  6 Er 2.70-2.83
S  0.0000  0.1901  0.1901  6 Er 2.70-2.83
S  0.5000  0.8099  0.8099  6 Er 2.70-2.83

## Properties
- space group = Cmcm (63)
- crystal system = orthorhombic
- volume (Å³/cell) = 288.75
- uncorrected formation energy (eV per atom) = -1.359